Entry 1:
VASP calculation (PBE) on crystalline LiSbSe at its relaxed geometry.

Cell lengths 5.2885, 5.2885, 2.8982 Å; angles 90.00, 90.00, 120.00 degrees
Last column: nearest neighbours and their distance in Å.
Fractional positions:
Li 0.0000 0.0000 0.0000  2 Li 2.90
Sb 0.6667 0.3333 0.4914  2 Sb 2.90, 3 Se 3.05
Se 0.3333 0.6667 0.4892  2 Se 2.90, 3 Sb 3.05

Results
E_tot in eV per formula unit: -9.99
V in Å³ per cell: 70.2
Total magnetic moment in μB/f.u.: 0.00
SG: No. 156
Uncorrected formation energy in eV per atom: -0.156

Entry 2:
VASP calculation (PBE) on crystalline LiSbSe at its relaxed geometry.

Cell lengths 4.5686, 4.5686, 4.5686 Å; angles 60.00, 60.00, 60.00 degrees
Last column: nearest neighbours and their distance in Å.
Fractional positions:
Li 0.0000 0.0000 0.0000  4 Se 2.80, 4 Sb 2.80
Sb 0.7500 0.7500 0.7500  4 Li 2.80
Se 0.2500 0.2500 0.2500  4 Li 2.80

Results
E_tot in eV per formula unit: -10.24
V in Å³ per cell: 67.4
Total magnetic moment in μB/f.u.: 0.00
SG: No. 216
Uncorrected formation energy in eV per atom: -0.238

Entry 3:
VASP calculation (PBE) on crystalline Li5SbSe6 at its relaxed geometry.

Cell lengths 7.6348, 7.6348, 6.0720 Å; angles 101.51, 101.51, 130.28 degrees
Last column: nearest neighbours and their distance in Å.
Fractional positions:
Li 0.0000 0.0000 0.0000  6 Se 2.72-2.80, 2 Sb 3.04
Li 0.3340 0.6660 0.5000  6 Se 2.74-2.84, 2 Li 3.04
Li 0.3431 0.6569 0.0000  6 Se 2.66-2.82
Li 0.6569 0.3431 0.0000  6 Se 2.66-2.82
Li 0.6660 0.3340 0.5000  6 Se 2.74-2.84, 2 Li 3.04
Sb 0.0000 0.0000 0.5000  6 Se 2.84-2.85, 2 Li 3.04
Se 0.1656 0.8299 0.2304  5 Li 2.72-2.84, 1 Se 2.81, 1 Sb 2.84
Se 0.1701 0.8344 0.7696  5 Li 2.72-2.84, 1 Se 2.81, 1 Sb 2.84
Se 0.4953 0.4953 0.2512  5 Li 2.66-2.80, 1 Sb 2.85
Se 0.5047 0.5047 0.7488  5 Li 2.66-2.80, 1 Sb 2.85
Se 0.8299 0.1656 0.2304  5 Li 2.72-2.84, 1 Se 2.81, 1 Sb 2.84
Se 0.8344 0.1701 0.7696  5 Li 2.72-2.84, 1 Se 2.81, 1 Sb 2.84

Results
E_tot in eV per formula unit: -43.22
V in Å³ per cell: 237.7
Total magnetic moment in μB/f.u.: 0.00
SG: No. 12
Uncorrected formation energy in eV per atom: -0.719

Question: Which formula does entry 1 have?
Answer: LiSbSe

Question: The highest uncorrected formation energy belongs to which entry?
Answer: number 1

What did the first record say?
VASP calculation (PBE) on crystalline LiSbSe at its relaxed geometry.

Cell lengths 5.2885, 5.2885, 2.8982 Å; angles 90.00, 90.00, 120.00 degrees
Last column: nearest neighbours and their distance in Å.
Fractional positions:
Li 0.0000 0.0000 0.0000  2 Li 2.90
Sb 0.6667 0.3333 0.4914  2 Sb 2.90, 3 Se 3.05
Se 0.3333 0.6667 0.4892  2 Se 2.90, 3 Sb 3.05

Results
E_tot in eV per formula unit: -9.99
V in Å³ per cell: 70.2
Total magnetic moment in μB/f.u.: 0.00
SG: No. 156
Uncorrected formation energy in eV per atom: -0.156

Question: Which value of E_tot does entry 3 give?
Answer: -43.22 eV per formula unit